Version a
This record from Alexandria via LeMat-Bulk describes a geometry-optimized Tb4CoAu structure. The functional is PBE.

Output
- Space group: C2/c (15)

Unit cell a=6.099 b=7.987 c=7.987 alpha=113.47 beta=105.84 gamma=105.84
Atoms (fractional coordinates):
Tb  0.808  0.656  0.784
Tb  0.088  0.940  0.297
Tb  0.692  0.216  0.344
Tb  0.412  0.703  0.060
Tb  0.588  0.297  0.940
Tb  0.308  0.784  0.656
Tb  0.912  0.060  0.703
Tb  0.192  0.344  0.216
Co  0.250  0.999  0.001
Co  0.750  0.001  0.999
Au  0.750  0.630  0.370
Au  0.250  0.370  0.630

Version b
This record from Alexandria via LeMat-Bulk describes a geometry-optimized Tb4CoAu structure. The functional is PBE.

Output
- Space group: P2/m (10)

Unit cell a=3.990 b=6.098 c=7.658 alpha=65.59 beta=90.00 gamma=90.00
Atoms (fractional coordinates):
Tb  0.501  0.970  0.272
Tb  0.501  0.024  0.725
Tb  0.001  0.537  0.708
Tb  0.001  0.457  0.289
Co  0.001  0.997  0.498
Au  0.501  0.497  0.998

What should be chosen as the least stable of them? Choose version b.

Version a
This record from Alexandria via LeMat-Bulk describes a geometry-optimized CoTcAu3 structure. The functional is PBE.

Output
- Space group: Pm-3m (221)

Unit cell a=4.735 b=4.735 c=4.735 alpha=90.00 beta=90.00 gamma=90.00
Atoms (fractional coordinates):
Co  0.000  0.000  0.000
Au  0.000  0.500  0.000
Au  0.000  0.000  0.500
Au  0.500  0.000  0.000
Tc  0.500  0.500  0.500

Version b
This record from Alexandria via LeMat-Bulk describes a geometry-optimized CoTcAu3 structure. The functional is PBE.

Output
- Space group: Pm-3m (221)

Unit cell a=4.992 b=4.992 c=4.992 alpha=90.00 beta=90.00 gamma=90.00
Atoms (fractional coordinates):
Co  0.500  0.500  0.500
Au  0.000  0.500  0.000
Au  0.000  0.000  0.500
Au  0.500  0.000  0.000
Tc  0.000  0.000  0.000

What should be chosen as the least stable of them? Choose version b.

Version a
This record from Alexandria via LeMat-Bulk describes a geometry-optimized CoTe2Au structure. The functional is PBE.

Output
- Space group: R-3m (166)

Unit cell a=8.141 b=8.141 c=8.141 alpha=27.18 beta=27.18 gamma=27.18
Atoms (fractional coordinates):
Co  0.500  0.500  0.500
Te  0.888  0.888  0.888
Te  0.112  0.112  0.112
Au  0.000  0.000  0.000

Version b
This record from Alexandria via LeMat-Bulk describes a geometry-optimized CoTe2Au structure. The functional is PBE.

Output
- Space group: I-42d (122)

Unit cell a=6.088 b=6.088 c=7.147 alpha=64.79 beta=64.79 gamma=90.00
Atoms (fractional coordinates):
Co  0.500  0.500  0.000
Co  0.250  0.750  0.500
Te  0.579  0.125  0.250
Te  0.171  0.625  0.250
Te  0.375  0.421  0.750
Te  0.875  0.829  0.750
Au  0.000  0.000  0.000
Au  0.750  0.250  0.500

What should be chosen as the least stable of them? Choose version b.

Version a
This record from Alexandria via LeMat-Bulk describes a geometry-optimized CoTeAu structure. The functional is PBE.

Output
- Space group: I4mm (107)

Unit cell a=6.337 b=6.337 c=3.095 alpha=75.87 beta=75.86 gamma=28.27
Atoms (fractional coordinates):
Au  0.970  0.970  0.030
Co  0.322  0.322  0.678
Te  0.708  0.708  0.292

Version b
This record from Alexandria via LeMat-Bulk describes a geometry-optimized CoTeAu structure. The functional is PBE.

Output
- Space group: P3m1 (156)

Unit cell a=3.554 b=3.554 c=5.518 alpha=90.00 beta=90.00 gamma=120.00
Atoms (fractional coordinates):
Au  0.000  0.000  0.059
Co  0.667  0.333  0.347
Te  0.333  0.667  0.594

What should be chosen as the least stable of them? Choose version a.

Version a
This record from Alexandria via LeMat-Bulk describes a geometry-optimized Th3CoAu structure. The functional is PBE.

Output
- Space group: C2/m (12)

Unit cell a=6.160 b=6.160 c=8.284 alpha=69.93 beta=69.93 gamma=64.10
Atoms (fractional coordinates):
Th  0.314  0.314  0.870
Th  0.686  0.686  0.130
Th  0.013  0.013  0.782
Th  0.987  0.987  0.218
Th  0.701  0.701  0.674
Th  0.299  0.299  0.326
Co  0.300  0.700  0.000
Co  0.700  0.300  0.000
Au  0.719  0.281  0.500
Au  0.281  0.719  0.500

Version b
This record from Alexandria via LeMat-Bulk describes a geometry-optimized Th3CoAu structure. The functional is PBE.

Output
- Space group: P2_1/m (11)

Unit cell a=5.714 b=7.221 c=7.065 alpha=90.00 beta=90.00 gamma=117.88
Atoms (fractional coordinates):
Th  0.903  0.695  0.516
Th  0.097  0.305  0.484
Th  0.903  0.695  0.984
Th  0.097  0.305  0.016
Th  0.496  0.142  0.750
Th  0.504  0.858  0.250
Co  0.925  0.026  0.750
Co  0.075  0.974  0.250
Au  0.416  0.694  0.750
Au  0.584  0.306  0.250

What should be chosen as the least stable of them? Choose version b.

Version a
This record from Alexandria via LeMat-Bulk describes a geometry-optimized TiCo2Au2 structure. The functional is PBE.

Output
- Space group: P4/mbm (127)

Unit cell a=6.226 b=6.226 c=3.855 alpha=90.00 beta=90.00 gamma=90.00
Atoms (fractional coordinates):
Co  0.370  0.870  0.000
Co  0.870  0.630  0.000
Co  0.630  0.130  0.000
Co  0.130  0.370  0.000
Au  0.170  0.670  0.500
Au  0.670  0.830  0.500
Au  0.830  0.330  0.500
Au  0.330  0.170  0.500
Ti  0.000  0.000  0.000
Ti  0.500  0.500  0.000

Version b
This record from Alexandria via LeMat-Bulk describes a geometry-optimized TiCo2Au2 structure. The functional is PBE.

Output
- Space group: I4/mmm (139)

Unit cell a=3.388 b=3.388 c=7.322 alpha=76.62 beta=76.62 gamma=90.00
Atoms (fractional coordinates):
Co  0.750  0.250  0.500
Co  0.250  0.750  0.500
Au  0.398  0.398  0.204
Au  0.602  0.602  0.796
Ti  0.000  0.000  0.000

What should be chosen as the least stable of them? Choose version b.

Version a
This record from Alexandria via LeMat-Bulk describes a geometry-optimized TiCo3Au structure. The functional is PBE.

Output
- Space group: Pm-3m (221)

Unit cell a=4.550 b=4.550 c=4.550 alpha=90.00 beta=90.00 gamma=90.00
Atoms (fractional coordinates):
Co  0.000  0.500  0.000
Co  0.000  0.000  0.500
Co  0.500  0.000  0.000
Au  0.000  0.000  0.000
Ti  0.500  0.500  0.500

Version b
This record from Alexandria via LeMat-Bulk describes a geometry-optimized TiCo3Au structure. The functional is PBE.

Output
- Space group: Pm-3m (221)

Unit cell a=4.243 b=4.243 c=4.243 alpha=90.00 beta=90.00 gamma=90.00
Atoms (fractional coordinates):
Co  0.000  0.500  0.000
Co  0.000  0.000  0.500
Co  0.500  0.000  0.000
Au  0.500  0.500  0.500
Ti  0.000  0.000  0.000

What should be chosen as the least stable of them? Choose version a.

Version a
This record from Alexandria via LeMat-Bulk describes a geometry-optimized TiCoAu3 structure. The functional is PBE.

Output
- Space group: Pm-3m (221)

Unit cell a=4.940 b=4.940 c=4.940 alpha=90.00 beta=90.00 gamma=90.00
Atoms (fractional coordinates):
Co  0.500  0.500  0.500
Au  0.000  0.500  0.000
Au  0.000  0.000  0.500
Au  0.500  0.000  0.000
Ti  0.000  0.000  0.000

Version b
This record from Alexandria via LeMat-Bulk describes a geometry-optimized TiCoAu3 structure. The functional is PBE.

Output
- Space group: Pm-3m (221)

Unit cell a=4.695 b=4.695 c=4.695 alpha=90.00 beta=90.00 gamma=90.00
Atoms (fractional coordinates):
Co  0.000  0.000  0.000
Au  0.000  0.500  0.000
Au  0.000  0.000  0.500
Au  0.500  0.000  0.000
Ti  0.500  0.500  0.500

What should be chosen as the least stable of them? Choose version a.

Version a
This record from Alexandria via LeMat-Bulk describes a geometry-optimized Tl2CoAu structure. The functional is PBE.

Output
- Space group: Pmmm (47)

Unit cell a=4.683 b=4.916 c=3.559 alpha=90.00 beta=90.00 gamma=90.00
Atoms (fractional coordinates):
Au  0.500  0.000  0.500
Co  0.000  0.500  0.500
Tl  0.000  0.000  0.000
Tl  0.500  0.500  0.000

Version b
This record from Alexandria via LeMat-Bulk describes a geometry-optimized Tl2CoAu structure. The functional is PBE.

Output
- Space group: P2/m (10)

Unit cell a=3.050 b=3.239 c=8.399 alpha=89.38 beta=90.00 gamma=90.00
Atoms (fractional coordinates):
Au  0.500  0.250  0.250
Co  0.500  0.750  0.750
Tl  0.000  0.241  0.953
Tl  0.000  0.259  0.547

Version c
This record from Alexandria via LeMat-Bulk describes a geometry-optimized Tl2CoAu structure. The functional is PBE.

Output
- Space group: R3m (160)

Unit cell a=9.113 b=9.113 c=9.113 alpha=21.21 beta=21.21 gamma=21.21
Atoms (fractional coordinates):
Au  0.487  0.487  0.487
Co  0.756  0.756  0.756
Tl  0.015  0.015  0.015
Tl  0.243  0.243  0.243

Version d
This record from Alexandria via LeMat-Bulk describes a geometry-optimized Tl2CoAu structure. The functional is PBE.

Output
- Space group: Immm (71)

Unit cell a=5.555 b=5.555 c=5.555 alpha=145.17 beta=120.53 gamma=70.80
Atoms (fractional coordinates):
Au  0.750  0.250  0.500
Co  0.250  0.750  0.500
Tl  0.020  0.020  0.000
Tl  0.480  0.480  0.000

What should be chosen as the least stable of them? Choose version d.

Version a
This record from Alexandria via LeMat-Bulk describes a geometry-optimized Tl2CoAu structure. The functional is PBE.

Output
- Space group: Imm2 (44)

Unit cell a=6.707 b=6.707 c=6.707 alpha=153.84 beta=141.29 gamma=47.32
Atoms (fractional coordinates):
Au  0.433  0.433  0.000
Co  0.249  0.749  0.500
Tl  0.057  0.057  0.000
Tl  0.761  0.261  0.500

Version b
This record from Alexandria via LeMat-Bulk describes a geometry-optimized Tl2CoAu structure. The functional is PBE.

Output
- Space group: P4mm (99)

Unit cell a=3.259 b=3.259 c=8.243 alpha=90.00 beta=90.00 gamma=90.01
Atoms (fractional coordinates):
Au  0.000  0.000  0.557
Co  0.500  0.500  0.715
Tl  0.000  0.000  0.940
Tl  0.500  0.500  0.288

What should be chosen as the least stable of them? Choose version b.

Version a
This record from Alexandria via LeMat-Bulk describes a geometry-optimized Tl2CoAu structure. The functional is PBE.

Output
- Space group: Pm (6)

Unit cell a=4.116 b=3.824 c=5.741 alpha=70.64 beta=90.00 gamma=90.00
Atoms (fractional coordinates):
Au  0.000  0.693  0.490
Co  0.500  0.542  0.790
Tl  0.000  0.978  0.918
Tl  0.500  0.287  0.301

Version b
This record from Alexandria via LeMat-Bulk describes a geometry-optimized Tl2CoAu structure. The functional is PBE.

Output
- Space group: I-42d (122)

Unit cell a=7.653 b=7.653 c=6.180 alpha=51.75 beta=51.75 gamma=90.00
Atoms (fractional coordinates):
Co  0.500  0.500  0.000
Co  0.250  0.750  0.500
Tl  0.596  0.125  0.250
Tl  0.154  0.625  0.250
Tl  0.375  0.404  0.750
Tl  0.875  0.846  0.750
Au  0.000  0.000  0.000
Au  0.750  0.250  0.500

Version c
This record from Alexandria via LeMat-Bulk describes a geometry-optimized Tl2CoAu structure. The functional is PBE.

Output
- Space group: P4/mmm (123)

Unit cell a=3.259 b=3.260 c=7.458 alpha=90.00 beta=90.00 gamma=90.00
Atoms (fractional coordinates):
Au  0.500  0.500  0.250
Co  0.500  0.500  0.750
Tl  0.000  0.000  0.971
Tl  0.000  0.000  0.529

Version d
This record from Alexandria via LeMat-Bulk describes a geometry-optimized Tl2CoAu structure. The functional is PBE.

Output
- Space group: I4/mmm (139)

Unit cell a=5.032 b=5.032 c=5.032 alpha=125.25 beta=125.25 gamma=81.13
Atoms (fractional coordinates):
Au  0.250  0.750  0.500
Co  0.750  0.250  0.500
Tl  0.000  0.000  0.000
Tl  0.500  0.500  0.000

What should be chosen as the least stable of them? Choose version b.

Version a
This record from Alexandria via LeMat-Bulk describes a geometry-optimized TlCoAu structure. The functional is PBE.

Output
- Space group: F-43m (216)

Unit cell a=4.372 b=4.372 c=4.372 alpha=60.00 beta=60.00 gamma=60.00
Atoms (fractional coordinates):
Au  0.500  0.500  0.500
Co  0.750  0.750  0.750
Tl  0.000  0.000  0.000

Version b
This record from Alexandria via LeMat-Bulk describes a geometry-optimized TlCoAu structure. The functional is PBE.

Output
- Space group: P3m1 (156)

Unit cell a=4.353 b=4.353 c=3.526 alpha=90.00 beta=90.00 gamma=120.00
Atoms (fractional coordinates):
Au  0.000  0.000  0.097
Co  0.333  0.667  0.252
Tl  0.667  0.333  0.652

What should be chosen as the least stable of them? Choose version b.